(1)
DFT (PBE) results for a relaxed Rb3ZrSc2S6 crystal.

Lattice parameters (Å, degrees): 6.6546 6.6546 7.9718 98.00 98.00 120.00
With the nearest neighbours (Å) after each atom.
Positions (direct):
Rb1 0.0000 0.0000 0.0000  6 S 3.27
Rb2 0.3329 0.6671 0.0000  6 S 3.27
Rb3 0.6671 0.3329 0.0000  6 S 3.27
Zr1 0.5000 0.5000 0.5000  6 S 2.63
Sc1 0.1666 0.8334 0.5000  6 S 2.64
Sc2 0.8334 0.1666 0.5000  6 S 2.64
S1 0.1056 0.4378 0.3135  1 Zr 2.63, 2 Sc 2.64
S2 0.2301 0.2301 0.6867  1 Zr 2.63, 2 Sc 2.64
S3 0.4378 0.1056 0.3135  1 Zr 2.63, 2 Sc 2.64
S4 0.5622 0.8944 0.6865  1 Zr 2.63, 2 Sc 2.64
S5 0.7699 0.7699 0.3133  1 Zr 2.63, 2 Sc 2.64
S6 0.8944 0.5622 0.6865  1 Zr 2.63, 2 Sc 2.64

Computed properties:
D(E_F)	0.348	states/eV/atom
SG	C2/m
electronic total energy	-5.689	eV per atom
E_form (uncorrected)	-1.62	eV per atom
calculated density	3562	kg/m³

***

(2)
DFT (PBE) results for a relaxed SrLaTlZn crystal.

Lattice parameters (Å, degrees): 7.8880 7.8880 7.8880 90.00 90.00 90.00
With the nearest neighbours (Å) after each atom.
Positions (direct):
Sr1 0.0000 0.0000 0.0000  4 Zn 3.42, 4 Tl 3.42
Sr2 0.0000 0.5000 0.5000  4 Zn 3.42, 4 Tl 3.42
Sr3 0.5000 0.0000 0.5000  4 Zn 3.42, 4 Tl 3.42
Sr4 0.5000 0.5000 0.0000  4 Zn 3.42, 4 Tl 3.42
La1 0.0000 0.0000 0.5000  4 Tl 3.42, 4 Zn 3.42
La2 0.0000 0.5000 0.0000  4 Tl 3.42, 4 Zn 3.42
La3 0.5000 0.0000 0.0000  4 Tl 3.42, 4 Zn 3.42
La4 0.5000 0.5000 0.5000  4 Tl 3.42, 4 Zn 3.42
Tl1 0.2500 0.2500 0.2500  4 Sr 3.42, 4 La 3.42
Tl2 0.2500 0.7500 0.7500  4 Sr 3.42, 4 La 3.42
Tl3 0.7500 0.2500 0.7500  4 Sr 3.42, 4 La 3.42
Tl4 0.7500 0.7500 0.2500  4 Sr 3.42, 4 La 3.42
Zn1 0.2500 0.2500 0.7500  4 La 3.42, 4 Sr 3.42
Zn2 0.2500 0.7500 0.2500  4 La 3.42, 4 Sr 3.42
Zn3 0.7500 0.2500 0.2500  4 La 3.42, 4 Sr 3.42
Zn4 0.7500 0.7500 0.7500  4 La 3.42, 4 Sr 3.42

Computed properties:
D(E_F)	0.556	states/eV/atom
SG	F-43m
electronic total energy	-2.888	eV per atom
ΔE_f	-31	kJ/mol of atoms
calculated density	6717	kg/m³

***

Question: Which of these has the highest D(E_F)?
Answer: SrLaTlZn

***

Question: Among the records above, which one has the highest calculated density?
Answer: SrLaTlZn